Density functional theory data (PBE) for crystalline YRu3Se at its relaxed geometry.

Results
Symmetry = No. 221
Formation energy without anion corrections = 0.2234 eV/atom

a b c (Å): 4.5666 4.5666 4.5666
angles (deg): 90.00 90.00 90.00
Last column: nearest neighbours and their distance in Å.
Atoms (fractional coordinates):
Y 0.5000 0.5000 0.5000  12 Ru 3.23
Ru 0.0000 0.5000 0.0000  2 Se 2.28
Ru 0.0000 0.0000 0.5000  2 Se 2.28
Ru 0.5000 0.0000 0.0000  2 Se 2.28
Se 0.0000 0.0000 0.0000  6 Ru 2.28